(1)
GGA-PBE Pr8NdEr6, relaxed; formation energy = 0.129 eV/atom; total moment = 0.00 Bohr magnetons per cell
1.0
7.9344 0.0000 4.5694
2.6514 7.4782 4.5694
0.2118 0.1496 8.8056
Pr Nd Er
8 1 6
Direct
0.8859 0.2852 0.5826
0.7537 0.1141 0.4174
0.7148 0.7537 0.4174
0.4217 0.4217 0.7348
0.5783 0.5783 0.2652
0.2852 0.2463 0.5826
0.2463 0.8859 0.5826
0.1141 0.7148 0.4174
0.0000 0.0000 0.0000
0.0947 0.5359 0.1165
0.7470 0.9053 0.8835
0.4641 0.7470 0.8835
0.5359 0.2530 0.1165
0.2530 0.0947 0.1165
0.9053 0.4641 0.8835

(2)
GGA-PBE Pr6Nd3Er, relaxed; formation energy = 0.130 eV/atom; total moment = 0.00 Bohr magnetons per cell
1.0
-3.2762 -4.2367 -3.8134
7.7279 -7.8674 2.1014
-9.0400 1.0780 6.5687
Pr Nd Er
12 6 2
Direct
0.0581 0.7118 0.6292
0.5581 0.6292 0.7118
0.3672 0.5237 0.9405
0.8672 0.9405 0.5237
0.3627 0.9656 0.0344
0.6530 0.2779 0.7221
0.1530 0.7221 0.2779
0.8627 0.0344 0.9656
0.3672 0.0595 0.4763
0.8672 0.4763 0.0595
0.0581 0.3708 0.2882
0.5581 0.2882 0.3708
0.4623 0.9429 0.7090
0.9623 0.7090 0.9429
0.0809 0.3841 0.6159
0.5809 0.6159 0.3841
0.9623 0.0571 0.2910
0.4623 0.2910 0.0571
0.1134 0.1915 0.8085
0.6133 0.8085 0.1915